[1]
Compound: BaTaGaPd2
Source: Alexandria
Functional: PBE
Structure: relaxed

Geometry as CIF:
```
data_BaTaGaPd2
_cell_length_a 5.1178
_cell_length_b 5.1178
_cell_length_c 5.5439
_cell_angle_alpha 90.00
_cell_angle_beta 90.00
_cell_angle_gamma 90.00
_symmetry_space_group_name_H-M 'P 4/m m m'
_symmetry_Int_Tables_number 123
_symmetry_space_group_name_Hall '-P 4 2'
loop_
_atom_site_label
_atom_site_type_symbol
_atom_site_fract_x
_atom_site_fract_y
_atom_site_fract_z
Ba1 Ba 0.0000 0.0000 0.0000
Ta1 Ta 0.5000 0.5000 0.5000
Ga1 Ga 0.0000 0.0000 0.5000
Pd1 Pd 0.0000 0.5000 0.0000
```

Output
* total DFT energy (no corrections): -0.1313 Ha/atom
* polymorph energy (0 for the lowest one): 1490 meV/atom
* E_form: 1.87 eV/atom
* spin magnetization: 0.0 μB/f.u.

=====

[2]
Compound: BaSrSb3
Source: Alexandria
Functional: PBE
Structure: relaxed

Geometry as CIF:
```
data_BaSrSb3
_cell_length_a 15.4266
_cell_length_b 6.8429
_cell_length_c 6.7390
_cell_angle_alpha 90.00
_cell_angle_beta 90.00
_cell_angle_gamma 90.00
_symmetry_space_group_name_H-M 'P n n a'
_symmetry_Int_Tables_number 52
loop_
_symmetry_equiv_pos_as_xyz
'x,y,z'
'-x,-y,-z'
'-x+1/2,-y,z'
'x+1/2,y,-z'
'x,-y+1/2,-z+1/2'
'-x,y+1/2,z+1/2'
'-x+1/2,y+1/2,-z+1/2'
'x+1/2,-y+1/2,z+1/2'
loop_
_atom_site_label
_atom_site_type_symbol
_atom_site_fract_x
_atom_site_fract_y
_atom_site_fract_z
Ba1 Ba 0.2500 0.0000 0.0365
Sr1 Sr 0.9997 0.2500 0.2500
Sb1 Sb 0.0682 0.7500 0.2500
Sb2 Sb 0.1552 0.0415 0.5519
```

Output
* total DFT energy (no corrections): -0.1467 Ha/atom
* polymorph energy (0 for the lowest one): 0 meV/atom
* formation energy (no corrections): -0.799 eV/atom
* spin magnetization: 0.0 μB/f.u.

=====

[3]
Compound: KAl2Co
Source: Alexandria
Functional: PBE
Structure: relaxed

Geometry as CIF:
```
data_KAl2Co
_cell_length_a 2.9688
_cell_length_b 2.9688
_cell_length_c 8.6045
_cell_angle_alpha 90.00
_cell_angle_beta 90.00
_cell_angle_gamma 90.00
_symmetry_space_group_name_H-M 'P 4/m m m'
_symmetry_Int_Tables_number 123
_symmetry_space_group_name_Hall '-P 4 2'
loop_
_atom_site_label
_atom_site_type_symbol
_atom_site_fract_x
_atom_site_fract_y
_atom_site_fract_z
K1 K 0.0000 0.0000 0.0000
Al1 Al 0.5000 0.5000 0.3390
Co1 Co 0.0000 0.0000 0.5000
```

Output
* total DFT energy (no corrections): -0.1430 Ha/atom
* polymorph energy (0 for the lowest one): 7 meV/atom
* E_form: 0.03 eV/atom
* spin magnetization: 0.5 μB/f.u.

=====

[4]
Compound: CdCuB3
Source: Alexandria
Functional: PBE
Structure: relaxed

Geometry as CIF:
```
data_CdCuB3
_cell_length_a 4.3564
_cell_length_b 4.3564
_cell_length_c 4.3564
_cell_angle_alpha 90.00
_cell_angle_beta 90.00
_cell_angle_gamma 90.00
_symmetry_space_group_name_H-M 'P m -3 m'
_symmetry_Int_Tables_number 221
_symmetry_space_group_name_Hall '-P 4 2 3'
loop_
_atom_site_label
_atom_site_type_symbol
_atom_site_fract_x
_atom_site_fract_y
_atom_site_fract_z
Cd1 Cd 0.0000 0.0000 0.0000
Cu1 Cu 0.5000 0.5000 0.5000
B1 B 0.0000 0.0000 0.5000
```

Output
* total DFT energy (no corrections): -0.0929 Ha/atom
* polymorph energy (0 for the lowest one): 909 meV/atom
* E_form: 2.48 eV/atom
* spin magnetization: 0.0 μB/f.u.

=====

[5]
Compound: BaSrMg2
Source: Alexandria
Functional: PBE
Structure: relaxed

Geometry as CIF:
```
data_BaSrMg2
_cell_length_a 4.2385
_cell_length_b 4.3145
_cell_length_c 8.5258
_cell_angle_alpha 90.00
_cell_angle_beta 90.02
_cell_angle_gamma 90.00
_symmetry_space_group_name_H-M 'P 1 2/m 1'
_symmetry_Int_Tables_number 10
loop_
_symmetry_equiv_pos_as_xyz
'x,y,z'
'-x,-y,-z'
'-x,y,-z'
'x,-y,z'
loop_
_atom_site_label
_atom_site_type_symbol
_atom_site_fract_x
_atom_site_fract_y
_atom_site_fract_z
Ba1 Ba 0.0000 0.0000 0.0000
Sr1 Sr 0.0000 0.0000 0.5000
Mg1 Mg 0.4984 0.5000 0.7340
```

Output
* total DFT energy (no corrections): -0.0645 Ha/atom
* polymorph energy (0 for the lowest one): 2 meV/atom
* E_form: -0.06 eV/atom
* spin magnetization: 0.0 μB/f.u.

=====

[6]
Compound: AcTb2PrSm5
Source: Alexandria
Functional: PBE
Structure: relaxed

Geometry as CIF:
```
data_AcTb2PrSm5
_cell_length_a 5.6316
_cell_length_b 24.1732
_cell_length_c 9.5138
_cell_angle_alpha 90.00
_cell_angle_beta 90.00
_cell_angle_gamma 90.00
_symmetry_space_group_name_H-M 'C m c 21'
_symmetry_Int_Tables_number 36
loop_
_symmetry_equiv_pos_as_xyz
'x,y,z'
'-x,-y,z+1/2'
'-x,y,z'
'x,-y,z+1/2'
'x+1/2,y+1/2,z'
'-x+1/2,-y+1/2,z+1/2'
'-x+1/2,y+1/2,z'
'x+1/2,-y+1/2,z+1/2'
loop_
_atom_site_label
_atom_site_type_symbol
_atom_site_fract_x
_atom_site_fract_y
_atom_site_fract_z
Ac1 Ac 0.0000 0.1021 0.0000
Tb1 Tb 0.0000 0.3302 0.2469
Tb2 Tb 0.0000 0.3880 0.8593
Pr1 Pr 0.0000 0.2627 0.6088
Sm1 Sm 0.0000 0.0244 0.3231
Sm2 Sm 0.0000 0.1027 0.6042
Sm3 Sm 0.0000 0.1895 0.3003
Sm4 Sm 0.0000 0.2416 0.9341
Sm5 Sm 0.0000 0.4931 0.0995
```

Output
* total DFT energy (no corrections): -0.1651 Ha/atom
* E_form: 0.15 eV/atom
* spin magnetization: 0.0 μB/f.u.

=====

[7]
Compound: Na2GaBi2
Source: Alexandria
Functional: PBE
Structure: relaxed

Geometry as CIF:
```
data_Na2GaBi2
_cell_length_a 7.2690
_cell_length_b 12.8323
_cell_length_c 6.5509
_cell_angle_alpha 90.00
_cell_angle_beta 90.00
_cell_angle_gamma 90.00
_symmetry_space_group_name_H-M 'I b a m'
_symmetry_Int_Tables_number 72
_symmetry_space_group_name_Hall '-I 2 2c'
loop_
_atom_site_label
_atom_site_type_symbol
_atom_site_fract_x
_atom_site_fract_y
_atom_site_fract_z
Na1 Na 0.1594 0.1106 0.0000
Ga1 Ga 0.0000 0.5000 0.2500
Bi1 Bi 0.2063 0.3601 0.0000
```

Output
* total DFT energy (no corrections): -0.1037 Ha/atom
* polymorph energy (0 for the lowest one): 72 meV/atom
* E_form: -0.14 eV/atom
* spin magnetization: 0.0 μB/f.u.

=====

[8]
Compound: TbNd2Er3As6
Source: Alexandria
Functional: PBE
Structure: relaxed

Geometry as CIF:
```
data_TbNd2Er3As6
_cell_length_a 18.1103
_cell_length_b 4.1591
_cell_length_c 8.3091
_cell_angle_alpha 90.00
_cell_angle_beta 103.20
_cell_angle_gamma 90.00
_symmetry_space_group_name_H-M 'C 1 2/m 1'
_symmetry_Int_Tables_number 12
loop_
_symmetry_equiv_pos_as_xyz
'x,y,z'
'-x,-y,-z'
'-x,y,-z'
'x,-y,z'
'x+1/2,y+1/2,z'
'-x+1/2,-y+1/2,-z'
'-x+1/2,y+1/2,-z'
'x+1/2,-y+1/2,z'
loop_
_atom_site_label
_atom_site_type_symbol
_atom_site_fract_x
_atom_site_fract_y
_atom_site_fract_z
Tb1 Tb 0.0000 0.0000 0.0000
Nd1 Nd 0.1659 0.5000 0.3323
Er1 Er 0.0000 0.0000 0.5000
Er2 Er 0.1670 0.5000 0.8339
As1 As 0.0030 0.5000 0.7494
As2 As 0.1641 0.0000 0.5899
As3 As 0.1671 0.0000 0.0754
```

Output
* total DFT energy (no corrections): -0.2263 Ha/atom
* E_form: -1.51 eV/atom
* spin magnetization: 0.0 μB/f.u.

=====

Question: Look up the total DFT energy (no corrections) of the fourth one.
Answer: -0.0929 Ha/atom